AcHg3Pd7 | Alexandria | PBE | optimized geometry; SG = C2/m; formation energy = -17.7 kJ/mol of atoms; total moment = 0.00 μB/atom
1.0
4.564 -4.718 0.000
4.564 4.718 0.000
-1.998 0.000 5.250
Ac Hg Pd
1 3 7
direct
0.000 0.000 0.000
0.288 0.712 0.500
0.500 0.500 0.000
0.712 0.288 0.500
0.000 0.000 0.500
0.075 0.536 0.801
0.288 0.288 0.467
0.464 0.925 0.199
0.536 0.075 0.801
0.712 0.712 0.533
0.925 0.464 0.199